Model P:
A plane-wave DFT calculation with PBE was carried out for a relaxed Rb2Cd2Au crystal.

Calculated values
spin magnetization: 0.000 μB/f.u.

a b c (Å): 4.2091 4.2091 21.5974
angles (deg): 90.00 90.00 90.00
With the nearest neighbours (Å) after each atom.
Sites, in units of the cell vectors:
1 Rb 0.0000 0.0000 0.0941  4 Au 3.60, 4 Cd 3.97
2 Rb 0.0000 0.0000 0.9059  4 Au 3.60, 4 Cd 3.97
3 Rb 0.5000 0.5000 0.4059  4 Au 3.60, 4 Cd 3.97
4 Rb 0.5000 0.5000 0.5941  4 Au 3.60, 4 Cd 3.97
5 Cd 0.0000 0.5000 0.2500  4 Cd 2.98
6 Cd 0.0000 0.5000 0.7500  4 Cd 2.98
7 Cd 0.5000 0.0000 0.2500  4 Cd 2.98
8 Cd 0.5000 0.0000 0.7500  4 Cd 2.98
9 Au 0.0000 0.0000 0.5000  8 Rb 3.60
10 Au 0.5000 0.5000 0.0000  8 Rb 3.60

Model Q:
A plane-wave DFT calculation with PBE was carried out for a relaxed Rb2Cd2Au crystal.

Calculated values
spin magnetization: 0.000 μB/f.u.

a b c (Å): 7.1087 7.1087 8.2403
angles (deg): 90.00 90.00 90.00
With the nearest neighbours (Å) after each atom.
Sites, in units of the cell vectors:
1 Rb 0.0000 0.5000 0.2500  4 Cd 3.61
2 Rb 0.0000 0.5000 0.7500  4 Cd 3.61
3 Rb 0.5000 0.0000 0.2500  4 Cd 3.61
4 Rb 0.5000 0.0000 0.7500  4 Cd 3.61
5 Cd 0.0000 0.0000 0.1700  1 Au 2.72, 1 Cd 2.80
6 Cd 0.0000 0.0000 0.8300  1 Au 2.72, 1 Cd 2.80
7 Cd 0.5000 0.5000 0.3300  1 Au 2.72, 1 Cd 2.80
8 Cd 0.5000 0.5000 0.6700  1 Au 2.72, 1 Cd 2.80
9 Au 0.0000 0.0000 0.5000  2 Cd 2.72
10 Au 0.5000 0.5000 0.0000  2 Cd 2.72

Which is the most stable structure? model P is the most stable.